No. 1
Material: LaSm6Er2Mg
Method: DFT, PBE
State: relaxed

Calculated volume: 32.8 Å³/atom
Calculated density: 7.08 g/cm³
Electronic total energy: -4.288 eV per atom

Structure (POSCAR):
```
LaSm6Er2Mg
1.0
5.1035 -6.8782 0.0000
5.1035 6.8782 0.0000
-1.9269 0.0000 9.3530
La Sm Er Mg
2 12 4 2
Cartesian
3.6583 5.9830 7.0147 La
4.6218 -5.9830 2.3382 La
1.9016 2.9834 3.0911 Sm
4.0072 4.5149 0.6876 Sm
5.2364 4.5149 3.9888 Sm
2.8149 1.6271 8.4584 Sm
4.5018 1.6271 5.5710 Sm
0.9381 -2.9834 7.7676 Sm
7.3420 2.9834 1.5854 Sm
3.7784 -1.6271 3.7819 Sm
5.4652 -1.6271 0.8945 Sm
3.0438 -4.5149 5.3641 Sm
4.2729 -4.5149 8.6653 Sm
6.3786 -2.9834 6.2619 Sm
1.2732 0.4725 5.5517 Er
2.2366 -0.4725 0.8752 Er
6.0435 0.4725 8.4778 Er
7.0070 -0.4725 3.8013 Er
4.6218 1.3608 2.3382 Mg
3.6583 -1.3608 7.0147 Mg
```

---

No. 2
Material: LaSm2ErMg
Method: DFT, PBE
State: relaxed

Calculated volume: 31.9 Å³/atom
Calculated density: 6.58 g/cm³
Electronic total energy: -4.086 eV per atom

Structure (POSCAR):
```
LaSm2ErMg
1.0
6.2845 0.0000 0.0000
0.0000 5.6743 0.0000
-2.9969 0.0000 8.9334
La Sm Er Mg
2 4 2 2
Cartesian
-0.9258 1.4186 3.4608 La
4.2134 4.2557 5.4726 La
1.1836 4.2557 3.5052 Sm
2.2627 1.4186 1.7497 Sm
1.0249 4.2557 7.1838 Sm
2.1039 1.4186 5.4282 Sm
-2.0294 4.2557 8.9245 Er
5.3170 1.4186 0.0090 Er
-0.9776 1.4186 7.2346 Mg
4.2652 4.2557 1.6988 Mg
```